No. 1
Computed, not measured: an optimized crystal structure of MgMoSe2 at the PBE level of DFT.

Output
The calculation puts the density at 5.7 g/cm³. The total energy comes out at -4.803 eV per atom.

a b c (Å): 3.499 3.499 7.743
angles (deg): 90.00 90.00 120.84
Positions (direct):
1 Mg 0.000 0.000 0.000
2 Mo 0.000 0.000 0.500
3 Se 0.500 0.500 0.255
4 Se 0.500 0.500 0.745

No. 2
Computed, not measured: an optimized crystal structure of MgMoSe2 at the PBE level of DFT.

Output
The calculation puts the density at 5.4 g/cm³. The total energy comes out at -5.160 eV per atom.

a b c (Å): 9.298 9.298 9.298
angles (deg): 20.44 20.44 20.44
Positions (direct):
1 Mg 0.000 0.000 0.000
2 Mo 0.500 0.500 0.500
3 Se 0.104 0.104 0.104
4 Se 0.896 0.896 0.896

No. 3
Computed, not measured: an optimized crystal structure of MgMoSe2 at the PBE level of DFT.

Output
The calculation puts the density at 5.8 g/cm³. The total energy comes out at -4.880 eV per atom.

a b c (Å): 5.217 5.217 5.217
angles (deg): 141.34 111.30 81.71
Positions (direct):
1 Mg 0.000 0.000 0.000
2 Mo 0.500 0.500 0.000
3 Se 0.266 0.766 0.500
4 Se 0.734 0.234 0.500

No. 4
Computed, not measured: an optimized crystal structure of MgMoSe at the PBE level of DFT.

Output
The calculation puts the density at 5.9 g/cm³. The total energy comes out at -4.991 eV per atom. For the energy above the lowest structure with this stoichiometry, the calculation gives 480 meV per atom.

a b c (Å): 4.297 4.297 4.297
angles (deg): 60.00 60.00 60.00
Positions (direct):
1 Mg 0.000 0.000 0.000
2 Mo 0.500 0.500 0.500
3 Se 0.250 0.250 0.250

No. 5
Computed, not measured: an optimized crystal structure of MgMoSe2 at the PBE level of DFT.

Output
The calculation puts the density at 6.2 g/cm³. The total energy comes out at -5.232 eV per atom.

a b c (Å): 6.796 6.796 6.796
angles (deg): 151.59 150.08 41.73
Positions (direct):
1 Mg 0.000 0.000 0.000
2 Mo 0.252 0.752 0.500
3 Se 0.408 0.408 0.000
4 Se 0.667 0.167 0.500

No. 6
Computed, not measured: an optimized crystal structure of YMgMo2Se at the PBE level of DFT.

Output
The calculation puts the density at 5.5 g/cm³. The total energy comes out at -6.103 eV per atom. For the energy above the lowest structure with this stoichiometry, the calculation gives 0 meV per atom.

a b c (Å): 4.695 4.695 5.254
angles (deg): 90.00 90.00 90.00
Positions (direct):
1 Y 0.000 0.000 0.000
2 Mg 0.500 0.500 0.000
3 Mo 0.000 0.500 0.500
4 Mo 0.500 0.000 0.500
5 Se 0.000 0.000 0.500

No. 7
Computed, not measured: an optimized crystal structure of YMgMo2Se at the PBE level of DFT.

Output
The calculation puts the density at 4.5 g/cm³. The total energy comes out at -5.019 eV per atom. For the energy above the lowest structure with this stoichiometry, the calculation gives 1084 meV per atom.

a b c (Å): 5.148 5.148 5.303
angles (deg): 90.00 90.00 90.00
Positions (direct):
1 Y 0.000 0.000 0.000
2 Mg 0.500 0.500 0.500
3 Mo 0.000 0.500 0.000
4 Mo 0.500 0.000 0.000
5 Se 0.000 0.000 0.500

No. 8
Computed, not measured: an optimized crystal structure of MgZr2MoSe at the PBE level of DFT.

Output
The calculation puts the density at 5.5 g/cm³. The total energy comes out at -5.249 eV per atom.

a b c (Å): 5.112 5.112 4.442
angles (deg): 90.00 90.00 90.00
Positions (direct):
1 Mg 0.000 0.000 0.000
2 Zr 0.000 0.500 0.000
3 Zr 0.500 0.000 0.000
4 Mo 0.500 0.500 0.500
5 Se 0.000 0.000 0.500

No. 9
Computed, not measured: an optimized crystal structure of MgSi2Mo at the PBE level of DFT.

Output
The calculation puts the density at 4.9 g/cm³. The total energy comes out at -5.755 eV per atom.

a b c (Å): 5.036 5.036 5.036
angles (deg): 136.53 136.53 63.16
Positions (direct):
1 Mg 0.000 0.000 0.000
2 Si 0.500 0.500 0.000
3 Si 0.750 0.250 0.500
4 Mo 0.250 0.750 0.500

No. 10
Computed, not measured: an optimized crystal structure of MgSiMo at the PBE level of DFT.

Output
The calculation puts the density at 5.0 g/cm³. The total energy comes out at -5.831 eV per atom. For the energy above the lowest structure with this stoichiometry, the calculation gives 284 meV per atom.

a b c (Å): 6.805 6.641 2.827
angles (deg): 81.14 74.62 24.23
Positions (direct):
1 Mg 0.000 0.000 0.000
2 Si 0.680 0.680 0.320
3 Mo 0.322 0.322 0.678

No. 11
Computed, not measured: an optimized crystal structure of Mg3SiMo at the PBE level of DFT.

Output
The calculation puts the density at 2.7 g/cm³. The total energy comes out at -3.274 eV per atom. For the energy above the lowest structure with this stoichiometry, the calculation gives 0 meV per atom.

a b c (Å): 4.966 4.966 4.966
angles (deg): 90.00 90.00 90.00
Positions (direct):
1 Mg 0.000 0.000 0.500
2 Mg 0.000 0.500 0.000
3 Mg 0.500 0.000 0.000
4 Si 0.000 0.000 0.000
5 Mo 0.500 0.500 0.500

No. 12
Computed, not measured: an optimized crystal structure of MgSiMo2 at the PBE level of DFT.

Output
The calculation puts the density at 6.4 g/cm³. The total energy comes out at -7.082 eV per atom.

a b c (Å): 2.770 2.770 8.553
angles (deg): 90.00 90.00 106.33
Positions (direct):
1 Mg 0.000 0.000 0.000
2 Si 0.000 0.000 0.500
3 Mo 0.500 0.500 0.276
4 Mo 0.500 0.500 0.724

No. 13
Computed, not measured: an optimized crystal structure of MgSi2Mo at the PBE level of DFT.

Output
The calculation puts the density at 4.6 g/cm³. The total energy comes out at -5.754 eV per atom.

a b c (Å): 2.866 2.866 7.975
angles (deg): 90.00 90.00 104.06
Positions (direct):
1 Mg 0.000 0.000 0.000
2 Si 0.500 0.500 0.270
3 Si 0.500 0.500 0.730
4 Mo 0.000 0.000 0.500

No. 14
Computed, not measured: an optimized crystal structure of MgSiMo at the PBE level of DFT.

Output
The calculation puts the density at 4.9 g/cm³. The total energy comes out at -5.919 eV per atom. For the energy above the lowest structure with this stoichiometry, the calculation gives 196 meV per atom.

a b c (Å): 5.279 5.279 5.279
angles (deg): 143.99 143.99 51.84
Positions (direct):
1 Mg 0.000 0.000 0.000
2 Si 0.295 0.295 0.000
3 Mo 0.695 0.695 0.000

No. 15
Computed, not measured: an optimized crystal structure of MgSi2Mo at the PBE level of DFT.

Output
The calculation puts the density at 4.3 g/cm³. The total energy comes out at -5.414 eV per atom.

a b c (Å): 5.706 5.706 5.706
angles (deg): 103.18 103.18 122.94
Positions (direct):
1 Mg 0.000 0.000 0.000
2 Mg 0.750 0.250 0.500
3 Si 0.149 0.625 0.024
4 Si 0.375 0.399 0.524
5 Si 0.601 0.125 0.976
6 Si 0.875 0.851 0.476
7 Mo 0.250 0.750 0.500
8 Mo 0.500 0.500 0.000

No. 16
Computed, not measured: an optimized crystal structure of MgSiMo2 at the PBE level of DFT.

Output
The calculation puts the density at 5.9 g/cm³. The total energy comes out at -6.661 eV per atom.

a b c (Å): 9.911 9.911 9.911
angles (deg): 157.93 157.93 31.42
Positions (direct):
1 Mg 0.000 0.000 0.000
2 Mg 0.750 0.250 0.500
3 Si 0.250 0.750 0.500
4 Si 0.500 0.500 0.000
5 Mo 0.157 0.625 0.032
6 Mo 0.375 0.407 0.532
7 Mo 0.593 0.125 0.968
8 Mo 0.875 0.843 0.468

No. 17
Computed, not measured: an optimized crystal structure of MgSi2Mo at the PBE level of DFT.

Output
The calculation puts the density at 4.4 g/cm³. The total energy comes out at -5.876 eV per atom.

a b c (Å): 4.487 4.487 5.161
angles (deg): 102.49 102.49 41.39
Positions (direct):
1 Mg 0.000 0.000 0.000
2 Si 0.236 0.236 0.677
3 Si 0.764 0.764 0.323
4 Mo 0.500 0.500 0.500

No. 18
Computed, not measured: an optimized crystal structure of MgSiMo2 at the PBE level of DFT.

Output
The calculation puts the density at 6.6 g/cm³. The total energy comes out at -7.015 eV per atom.

a b c (Å): 5.101 5.101 2.718
angles (deg): 98.68 98.68 114.95
Positions (direct):
1 Mg 0.000 0.000 0.000
2 Si 0.500 0.500 0.000
3 Mo 0.000 0.500 0.500
4 Mo 0.500 0.000 0.500

No. 19
Computed, not measured: an optimized crystal structure of MgSi2Mo at the PBE level of DFT.

Output
The calculation puts the density at 4.7 g/cm³. The total energy comes out at -5.940 eV per atom.

a b c (Å): 3.274 3.274 5.774
angles (deg): 90.00 90.00 90.00
Positions (direct):
1 Mg 0.000 0.000 0.000
2 Si 0.500 0.500 0.281
3 Si 0.500 0.500 0.719
4 Mo 0.000 0.000 0.500

No. 20
Computed, not measured: an optimized crystal structure of MgSiMo2 at the PBE level of DFT.

Output
The calculation puts the density at 6.5 g/cm³. The total energy comes out at -7.181 eV per atom.

a b c (Å): 3.232 3.232 6.015
angles (deg): 90.00 90.00 90.00
Positions (direct):
1 Mg 0.000 0.000 0.000
2 Si 0.500 0.500 0.740
3 Mo 0.000 0.000 0.510
4 Mo 0.500 0.500 0.277

No. 21
Computed, not measured: an optimized crystal structure of MgSiMo2 at the PBE level of DFT.

Output
The calculation puts the density at 6.5 g/cm³. The total energy comes out at -7.041 eV per atom.

a b c (Å): 2.740 4.296 5.371
angles (deg): 90.00 101.26 90.00
Positions (direct):
1 Mg 0.000 0.000 0.000
2 Si 0.500 0.000 0.500
3 Mo 0.284 0.500 0.747
4 Mo 0.716 0.500 0.253

No. 22
Computed, not measured: an optimized crystal structure of MgSi2Mo at the PBE level of DFT.

Output
The calculation puts the density at 4.6 g/cm³. The total energy comes out at -5.578 eV per atom.

a b c (Å): 2.790 2.790 8.330
angles (deg): 90.00 90.00 103.47
Positions (direct):
1 Mg 0.000 0.000 0.000
2 Si 0.000 0.000 0.496
3 Si 0.500 0.500 0.728
4 Mo 0.500 0.500 0.272

No. 23
Computed, not measured: an optimized crystal structure of Mg3SiMo at the PBE level of DFT.

Output
The calculation puts the density at 2.4 g/cm³. The total energy comes out at -2.848 eV per atom. For the energy above the lowest structure with this stoichiometry, the calculation gives 426 meV per atom.

a b c (Å): 5.148 5.148 5.148
angles (deg): 90.00 90.00 90.00
Positions (direct):
1 Mg 0.000 0.000 0.500
2 Mg 0.000 0.500 0.000
3 Mg 0.500 0.000 0.000
4 Si 0.500 0.500 0.500
5 Mo 0.000 0.000 0.000

No. 24
Computed, not measured: an optimized crystal structure of MgSiMo2 at the PBE level of DFT.

Output
The calculation puts the density at 6.5 g/cm³. The total energy comes out at -7.068 eV per atom.

a b c (Å): 5.057 5.057 5.057
angles (deg): 141.35 128.85 65.90
Positions (direct):
1 Mg 0.000 0.000 0.000
2 Si 0.739 0.239 0.500
3 Mo 0.265 0.765 0.500
4 Mo 0.500 0.500 0.000

No. 25
Computed, not measured: an optimized crystal structure of MgSiMo at the PBE level of DFT.

Output
The calculation puts the density at 4.6 g/cm³. The total energy comes out at -5.686 eV per atom. For the energy above the lowest structure with this stoichiometry, the calculation gives 428 meV per atom.

a b c (Å): 4.227 4.227 4.227
angles (deg): 60.00 60.00 60.00
Positions (direct):
1 Mg 0.000 0.000 0.000
2 Si 0.750 0.750 0.750
3 Mo 0.500 0.500 0.500

No. 26
Computed, not measured: an optimized crystal structure of MgSi2Mo at the PBE level of DFT.

Output
The calculation puts the density at 4.9 g/cm³. The total energy comes out at -5.827 eV per atom.

a b c (Å): 4.776 4.776 4.776
angles (deg): 136.59 125.70 71.95
Positions (direct):
1 Mg 0.000 0.000 0.000
2 Si 0.253 0.753 0.500
3 Si 0.747 0.247 0.500
4 Mo 0.500 0.500 0.000

No. 27
Computed, not measured: an optimized crystal structure of MgSiMo2 at the PBE level of DFT.

Output
The calculation puts the density at 6.4 g/cm³. The total energy comes out at -6.951 eV per atom.

a b c (Å): 2.720 2.720 8.524
angles (deg): 90.00 90.00 90.00
Positions (direct):
1 Mg 0.000 0.000 0.000
2 Si 0.000 0.000 0.500
3 Mo 0.500 0.500 0.275
4 Mo 0.500 0.500 0.725

No. 28
Computed, not measured: an optimized crystal structure of MgSiMo2 at the PBE level of DFT.

Output
The calculation puts the density at 6.2 g/cm³. The total energy comes out at -7.112 eV per atom.

a b c (Å): 3.284 3.284 6.032
angles (deg): 90.00 90.00 90.00
Positions (direct):
1 Mg 0.000 0.000 0.000
2 Si 0.000 0.000 0.500
3 Mo 0.500 0.500 0.302
4 Mo 0.500 0.500 0.698

No. 29
Computed, not measured: an optimized crystal structure of MgSiMo at the PBE level of DFT.

Output
The calculation puts the density at 5.1 g/cm³. The total energy comes out at -5.857 eV per atom. For the energy above the lowest structure with this stoichiometry, the calculation gives 257 meV per atom.

a b c (Å): 4.399 4.399 2.861
angles (deg): 90.00 90.00 120.00
Positions (direct):
1 Mg 0.000 0.000 0.000
2 Si 0.667 0.333 0.537
3 Mo 0.333 0.667 0.490

No. 30
Computed, not measured: an optimized crystal structure of MgSiMo2 at the PBE level of DFT.

Output
The calculation puts the density at 6.0 g/cm³. The total energy comes out at -6.971 eV per atom.

a b c (Å): 8.794 8.794 8.794
angles (deg): 19.64 19.64 19.64
Positions (direct):
1 Mg 0.000 0.000 0.000
2 Si 0.756 0.756 0.756
3 Mo 0.241 0.241 0.241
4 Mo 0.498 0.498 0.498